# GGA+U Li2Ni3O6, relaxed
data_Li2Ni3O6
_chemical_formula_sum 'Li4 Ni6 O12'
_symmetry_space_group_name_H-M 'P 1'
_symmetry_Int_Tables_number 1
_cell_length_a 4.982
_cell_length_b 4.982
_cell_length_c 9.919
_cell_angle_alpha 95.64
_cell_angle_beta 95.64
_cell_angle_gamma 58.53
loop_
_symmetry_equiv_pos_as_xyz
'x,y,z'
loop_
_atom_site_label
_atom_site_type_symbol
_atom_site_fract_x
_atom_site_fract_y
_atom_site_fract_z
_atom_site_occupancy
Li1 Li 0.557 0.263 0.506 1
Li2 Li 0.602 0.892 0.007 1
Li3 Li 0.263 0.557 0.006 1
Li4 Li 0.892 0.602 0.507 1
Ni1 Ni 0.636 0.254 0.246 1
Ni2 Ni 0.922 0.304 0.753 1
Ni3 Ni 0.304 0.922 0.253 1
Ni4 Ni 0.586 0.970 0.747 1
Ni5 Ni 0.970 0.586 0.247 1
Ni6 Ni 0.254 0.636 0.746 1
O1 O 0.615 0.609 0.143 1
O2 O 0.609 0.615 0.643 1
O3 O 0.976 0.277 0.346 1
O4 O 0.572 0.310 0.853 1
O5 O 0.960 0.895 0.147 1
O6 O 0.277 0.976 0.846 1
O7 O 0.661 0.907 0.356 1
O8 O 0.895 0.960 0.647 1
O9 O 0.310 0.572 0.353 1
O10 O 0.907 0.661 0.856 1
O11 O 0.294 0.262 0.141 1
O12 O 0.262 0.294 0.641 1
# SG ... No. 9
# Final energy ... -4.7975 eV per atom